# PBE Ba2AcAu3, relaxed
# Energy of formation from the pure elements, kJ per mole of atoms: -68.52
# DOS at the Fermi energy, states/eV/atom: 0.5470
data_Ba2AcAu3
_chemical_formula_sum 'Ba8 Ac4 Au12'
_cell_length_a 14.873
_cell_length_b 6.620
_cell_length_c 9.338
_cell_angle_alpha 90.00
_cell_angle_beta 108.28
_cell_angle_gamma 90.00
_space_group_name_H-M_alt 'C 1 2/c 1'
_space_group_IT_number 15
_space_group_name_Hall '-C 2yc'
loop_
_atom_site_label
_atom_site_type_symbol
_atom_site_fract_x
_atom_site_fract_y
_atom_site_fract_z
Ba1 Ba 0.167 0.000 0.084
Ac1 Ac 0.000 0.499 0.250
Au1 Au 0.000 0.001 0.750
Au2 Au 0.155 0.500 0.077